1.
TlZn2Rh | PBE | relaxed

a = 3.139 Å, b = 3.105 Å, c = 7.554 Å
α = 90.00°, β = 90.08°, γ = 90.00°
Atoms (fractional coordinates):
Tl 0.000 0.000 0.000
Zn 0.499 0.500 0.317
Zn 0.501 0.500 0.683
Rh 0.000 0.000 0.500

Summary:
Crystal system: monoclinic
M_tot in μB per formula unit: 0.0
Offset from the most stable computed form in eV per atom: 0.000
DOS(E_F) in states/eV per cell: 1.179
Total DFT energy (no corrections) in eV for the cell shown: -12.70
Energy of formation in eV per atom: -0.108
Space group: P2/m (10)

***

2.
TlZn2Rh | PBE | relaxed

a = 3.302 Å, b = 3.302 Å, c = 6.383 Å
α = 90.00°, β = 90.00°, γ = 90.00°
Atoms (fractional coordinates):
Tl 0.000 0.000 0.000
Zn 0.000 0.000 0.528
Zn 0.500 0.500 0.306
Rh 0.500 0.500 0.711

Summary:
Crystal system: tetragonal
M_tot in μB per formula unit: 0.0
Offset from the most stable computed form in eV per atom: 0.090
DOS(E_F) in states/eV per cell: 1.136
Total DFT energy (no corrections) in eV for the cell shown: -12.34
Energy of formation in eV per atom: -0.018
Space group: P4mm (99)